1.
The following is a GGA-PBE calculation of Cs2Pd2S3 after structural relaxation, from OQMD via LeMat-Bulk.

a b c (Å): 8.4310 8.4310 8.4310
angles (deg): 109.47 109.47 109.47
Fractional coordinates of all 14 atoms:
Pd (0.6834, 0.5000, 0.0000)
Pd (0.5000, 0.0000, 0.6834)
Pd (0.0000, 0.6834, 0.5000)
Pd (0.8166, 0.8166, 0.8166)
S (0.8093, 0.0593, 0.7500)
S (0.2500, 0.6907, 0.4407)
S (0.6907, 0.4407, 0.2500)
S (0.4407, 0.2500, 0.6907)
S (0.0593, 0.7500, 0.8093)
S (0.7500, 0.8093, 0.0593)
Cs (0.5000, 0.0000, 0.2733)
Cs (0.0000, 0.2733, 0.5000)
Cs (0.2733, 0.5000, 0.0000)
Cs (0.2267, 0.2267, 0.2267)

Properties
theoretical density: 4.14 g/cm3
calculated volume: 461.33 Å³/cell
raw total energy: -3.837 eV/atom

***

2.
The following is a GGA-PBE calculation of Gd2MgNi2 after structural relaxation, from OQMD via LeMat-Bulk.

a b c (Å): 7.3736 7.3736 3.7569
angles (deg): 90.00 90.00 90.00
Fractional coordinates of all 10 atoms:
Gd (0.6725, 0.8275, 0.5000)
Gd (0.1725, 0.6725, 0.5000)
Gd (0.8275, 0.3275, 0.5000)
Gd (0.3275, 0.1725, 0.5000)
Ni (0.8789, 0.6211, 0.0000)
Ni (0.1211, 0.3789, 0.0000)
Ni (0.6211, 0.1211, 0.0000)
Ni (0.3789, 0.8789, 0.0000)
Mg (0.5000, 0.5000, 0.0000)
Mg (0.0000, 0.0000, 0.0000)

Properties
theoretical density: 7.42 g/cm3
calculated volume: 204.26 Å³/cell
raw total energy: -4.771 eV/atom

***

3.
The following is a GGA-PBE calculation of NaPrSn after structural relaxation, from OQMD via LeMat-Bulk.

a b c (Å): 5.5588 5.5588 6.5794
angles (deg): 90.00 90.00 120.86
Fractional coordinates of all 6 atoms:
Na (0.5001, 0.4999, 0.9398)
Na (0.4999, 0.5001, 0.4398)
Sn (0.1633, 0.8367, 0.6896)
Sn (0.8367, 0.1633, 0.1896)
Pr (0.8316, 0.1684, 0.6896)
Pr (0.1684, 0.8316, 0.1896)

Properties
theoretical density: 5.38 g/cm3
calculated volume: 174.52 Å³/cell
raw total energy: -3.895 eV/atom

***

4.
The following is a GGA-PBE calculation of TaBrCl2O after structural relaxation, from OQMD via LeMat-Bulk.

a b c (Å): 7.2577 7.2577 11.7734
angles (deg): 120.24 120.24 30.72
Fractional coordinates of all 10 atoms:
Cl (0.1210, 0.0933, 0.3761)
Cl (0.9207, 0.8932, 0.0426)
Cl (0.1068, 0.0793, 0.9574)
Cl (0.9067, 0.8790, 0.6239)
Br (0.3366, 0.3090, 0.2887)
Br (0.6910, 0.6634, 0.7113)
O (0.6237, 0.5960, 0.1730)
O (0.4040, 0.3763, 0.8270)
Ta (0.8942, 0.8657, 0.8095)
Ta (0.1343, 0.1058, 0.1905)

Properties
theoretical density: 4.28 g/cm3
calculated volume: 270.13 Å³/cell
raw total energy: -6.115 eV/atom

***

5.
The following is a GGA-PBE calculation of YFeCoP2 after structural relaxation, from OQMD via LeMat-Bulk.

a b c (Å): 5.4703 5.4703 5.4703
angles (deg): 139.43 139.43 58.73
Fractional coordinates of all 5 atoms:
Co (0.0000, 0.0000, 0.0000)
P (0.8775, 0.3775, 0.5000)
P (0.6225, 0.1225, 0.5000)
Fe (0.5000, 0.5000, 0.0000)
Y (0.2500, 0.7500, 0.5000)

Properties
theoretical density: 6.43 g/cm3
calculated volume: 68.60 Å³/cell
raw total energy: -7.538 eV/atom

***

6.
The following is a GGA-PBE calculation of Zr2HgSe4 after structural relaxation, from OQMD via LeMat-Bulk.

a b c (Å): 10.1943 10.1943 6.5642
angles (deg): 107.38 107.38 21.39
Fractional coordinates of all 7 atoms:
Zr (0.7487, 0.7487, 0.7483)
Zr (0.2513, 0.2513, 0.2517)
Se (0.3333, 0.3333, 0.6622)
Se (0.1660, 0.1660, 0.8408)
Se (0.8340, 0.8340, 0.1592)
Se (0.6667, 0.6667, 0.3378)
Hg (0.0000, 0.0000, 0.0000)

Properties
theoretical density: 4.90 g/cm3
calculated volume: 237.01 Å³/cell
raw total energy: -5.604 eV/atom

***

7.
The following is a GGA-PBE calculation of PmCdAsO after structural relaxation, from OQMD via LeMat-Bulk.

a b c (Å): 4.5897 6.3546 6.2088
angles (deg): 90.00 90.00 90.00
Fractional coordinates of all 8 atoms:
As (0.0000, 0.2289, 0.8995)
As (0.0000, 0.7711, 0.3995)
Cd (0.5000, 0.6418, 0.5339)
Cd (0.5000, 0.3582, 0.0339)
Pm (0.0000, 0.7611, 0.9174)
Pm (0.0000, 0.2389, 0.4174)
O (0.5000, 0.6993, 0.9031)
O (0.5000, 0.3007, 0.4031)

Properties
theoretical density: 6.39 g/cm3
calculated volume: 181.08 Å³/cell
raw total energy: -5.269 eV/atom

***

8.
The following is a GGA-PBE calculation of TbPrCo after structural relaxation, from OQMD via LeMat-Bulk.

a b c (Å): 4.7452 4.7452 4.7452
angles (deg): 60.00 60.00 60.00
Fractional coordinates of all 3 atoms:
Co (0.2500, 0.2500, 0.2500)
Tb (0.7500, 0.7500, 0.7500)
Pr (0.0000, 0.0000, 0.0000)

Properties
energy of formation: 2.4 eV per formula unit
theoretical density: 7.89 g/cm3
calculated volume: 75.55 Å³/cell
raw total energy: -4.704 eV/atom

***

Q: Which of these has the lowest calculated volume?
A: YFeCoP2

***

Q: calculated volume of number 8 (TbPrCo)?
A: 75.55 Å³/cell